[1]
{"formula": "Mn2TeAu", "functional": "PBE-GGA", "state": "relaxed", "magnetic_moment_mub_per_atom": 1.8441, "e_form_raw_mev_per_atom": 147, "dft_energy_ev_per_atom": -6.042, "spacegroup": "P4mm", "lattice_angstrom": [[-0.7413, 1.1410, 3.2714], [-3.1757, -1.5615, -0.1750], [2.3126, -4.9555, 2.2524]], "species": ["Te", "Mn", "Mn", "Au"], "fractional_positions": [[0.0000, 0.0000, 0.4561], [0.5000, 0.5000, 0.2543], [0.0000, 0.0000, 0.9934], [0.5000, 0.5000, 0.7962]]}

[2]
{"formula": "Rh3Au", "functional": "PBE-GGA", "state": "relaxed", "ef_ev_per_fu": 0.73, "magnetic_moment_mub_per_atom": 0.0006, "dft_energy_ev_per_atom": -6.151, "spacegroup": "Cmmm", "lattice_angstrom": [[-2.3382, 3.6198, -2.0722], [-1.2841, -0.2520, 4.5991], [2.0838, 1.7335, 0.6768]], "species": ["Rh", "Rh", "Au", "Rh"], "fractional_positions": [[0.0000, 0.5000, 0.5000], [0.5000, 0.5000, 0.0000], [0.0000, 0.0000, 0.0000], [0.5000, 0.0000, 0.5000]]}

[3]
{"formula": "Rb2B2Se", "functional": "PBE-GGA", "state": "relaxed", "magnetic_moment_mub_per_atom": 0.0000, "e_form_raw_mev_per_atom": 651, "dft_energy_ev_per_atom": -3.104, "spacegroup": "P4/mbm", "lattice_angstrom": [[-6.2986, -0.0111, -1.5050], [0.8735, -5.3005, -3.6166], [-0.9909, -3.0080, 4.1693]], "species": ["Rb", "Rb", "B", "Se", "B", "B", "Rb", "Se", "Rb", "B"], "fractional_positions": [[0.2927, 0.2073, 0.5000], [0.7927, 0.2927, 0.5000], [0.4123, 0.9123, 0.0000], [0.5000, 0.5000, 0.0000], [0.9123, 0.5877, 0.0000], [0.0877, 0.4123, 0.0000], [0.2073, 0.7073, 0.5000], [0.0000, 0.0000, 0.0000], [0.7073, 0.7927, 0.5000], [0.5877, 0.0877, 0.0000]]}

[4]
{"formula": "Hg2SbPb3", "functional": "PBE-GGA", "state": "relaxed", "magnetic_moment_mub_per_atom": 0.0000, "e_form_raw_mev_per_atom": 30, "dft_energy_ev_per_atom": -2.612, "spacegroup": "P-1", "e_above_lowest_polymorph_mev_per_atom": 0.0, "lattice_angstrom": [[-5.7332, 1.1173, -3.0936], [-4.0181, -2.0989, 4.9973], [5.7011, 7.1839, 3.9260]], "species": ["Sb", "Hg", "Pb", "Pb", "Pb", "Hg", "Hg", "Sb", "Pb", "Pb", "Hg", "Pb"], "fractional_positions": [[0.7857, 0.7399, 0.9951], [0.2349, 0.9216, 0.6577], [0.2443, 0.0844, 0.3262], [0.7557, 0.9156, 0.6738], [0.2069, 0.5854, 0.3215], [0.7324, 0.5749, 0.3408], [0.7651, 0.0784, 0.3423], [0.2143, 0.2601, 0.0049], [0.7010, 0.2312, 0.9989], [0.2990, 0.7688, 0.0011], [0.2676, 0.4251, 0.6592], [0.7931, 0.4146, 0.6785]]}

[5]
{"formula": "TmMgSc2Tl4", "functional": "PBE-GGA", "state": "relaxed", "ef_ev_per_fu": -1.66, "magnetic_moment_mub_per_atom": 0.0000, "dft_energy_ev_per_atom": -3.732, "spacegroup": "R-3m", "lattice_angstrom": [[-4.5735, 1.2511, 1.9177], [-4.0660, -2.9543, -0.9489], [-1.1772, -5.1823, 7.3940]], "species": ["Sc", "Sc", "Tm", "Tl", "Tl", "Mg", "Tl", "Tl"], "fractional_positions": [[0.7544, 0.7544, 0.7367], [0.2456, 0.2456, 0.2633], [0.0000, 0.0000, 0.0000], [0.8749, 0.8749, 0.3754], [0.1251, 0.1251, 0.6246], [0.5000, 0.5000, 0.5000], [0.3768, 0.3768, 0.8695], [0.6232, 0.6232, 0.1305]]}

[6]
{"formula": "Nd3ErTh2Sb6", "functional": "PBE-GGA", "state": "relaxed", "magnetic_moment_mub_per_atom": 0.0000, "e_form_raw_mev_per_atom": -1090, "dft_energy_ev_per_atom": -5.960, "spacegroup": "C2/m", "lattice_angstrom": [[-1.7854, 0.0810, -4.1270], [5.5242, -6.6171, -2.5199], [-7.0012, -4.7997, 5.3852]], "species": ["Er", "Th", "Nd", "Sb", "Sb", "Sb", "Th", "Nd", "Sb", "Nd", "Sb", "Sb"], "fractional_positions": [[0.5000, 0.0000, 0.0000], [0.8353, 0.6692, 0.6705], [0.1673, 0.8344, 0.3345], [0.3365, 0.9179, 0.6730], [0.9994, 0.2419, 0.9988], [0.6635, 0.0821, 0.3270], [0.1647, 0.3308, 0.3295], [0.8327, 0.1656, 0.6655], [0.0006, 0.7581, 0.0012], [0.5000, 0.5000, 0.0000], [0.3326, 0.4172, 0.6652], [0.6674, 0.5828, 0.3348]]}

[7]
{"formula": "NaTa2Au", "functional": "PBE-GGA", "state": "relaxed", "ef_ev_per_fu": 3.33, "magnetic_moment_mub_per_atom": 0.0000, "dft_energy_ev_per_atom": -6.242, "spacegroup": "Fm-3m", "e_above_lowest_polymorph_mev_per_atom": 0.0, "lattice_angstrom": [[0.0000, 3.3182, 3.3182], [3.3182, 0.0000, 3.3182], [3.3182, 3.3182, 0.0000]], "species": ["Na", "Ta", "Ta", "Au"], "fractional_positions": [[0.0000, 0.0000, 0.0000], [0.7500, 0.7500, 0.7500], [0.2500, 0.2500, 0.2500], [0.5000, 0.5000, 0.5000]]}

[8]
{"formula": "ZnSi2Se", "functional": "PBE-GGA", "state": "relaxed", "magnetic_moment_mub_per_atom": 0.0000, "e_form_raw_mev_per_atom": 452, "dft_energy_ev_per_atom": -3.449, "spacegroup": "Cmmm", "e_above_lowest_polymorph_mev_per_atom": 439.5, "lattice_angstrom": [[-2.2608, 0.6558, 1.2715], [-0.4708, -1.9384, -1.7830], [1.9949, -7.1298, 7.2245]], "species": ["Si", "Si", "Se", "Zn"], "fractional_positions": [[0.0000, 0.0000, 0.4670], [0.0000, 0.0000, 0.0330], [0.5000, 0.5000, 0.7500], [0.5000, 0.5000, 0.2500]]}

[9]
{"formula": "TcPt3O", "functional": "PBE-GGA", "state": "relaxed", "magnetic_moment_mub_per_atom": 0.0000, "e_form_raw_mev_per_atom": 1829, "dft_energy_ev_per_atom": -4.860, "spacegroup": "Pm-3m", "e_above_lowest_polymorph_mev_per_atom": 1085.0, "lattice_angstrom": [[-3.3989, 3.3218, -0.3908], [-2.2497, -1.8582, 3.7717], [2.4751, 2.8727, 2.8916]], "species": ["Pt", "Tc", "Pt", "Pt", "O"], "fractional_positions": [[0.0000, 0.0000, 0.5000], [0.0000, 0.0000, 0.0000], [0.0000, 0.5000, 0.0000], [0.5000, 0.0000, 0.0000], [0.5000, 0.5000, 0.5000]]}

[10]
{"formula": "ThTiSn", "functional": "PBE-GGA", "state": "relaxed", "ef_ev_per_fu": -1.10, "magnetic_moment_mub_per_atom": 0.4846, "dft_energy_ev_per_atom": -6.805, "spacegroup": "I4/mmm", "lattice_angstrom": [[4.2396, 0.0000, -1.1056], [-0.2883, 4.2298, -1.1056], [-0.0026, -0.0028, 8.6718]], "species": ["Sn", "Ti", "Th", "Th", "Ti", "Sn"], "fractional_positions": [[0.1208, 0.1208, 0.2416], [0.5000, 0.0000, 0.0000], [0.6716, 0.6716, 0.3432], [0.3284, 0.3284, 0.6568], [0.0000, 0.5000, 0.0000], [0.8792, 0.8792, 0.7584]]}

[11]
{"formula": "HoTm2Pb", "functional": "PBE-GGA", "state": "relaxed", "ef_ev_per_fu": -0.99, "magnetic_moment_mub_per_atom": 0.1656, "dft_energy_ev_per_atom": -4.556, "spacegroup": "P4/mmm", "e_above_lowest_polymorph_mev_per_atom": 31.2, "lattice_angstrom": [[-0.2390, -2.8626, -3.8480], [3.9345, -2.3453, 1.5004], [-2.7739, -3.0782, 2.4622]], "species": ["Pb", "Tm", "Ho", "Tm"], "fractional_positions": [[0.5000, 0.0000, 0.0000], [0.0000, 0.0000, 0.5000], [0.5000, 0.5000, 0.5000], [0.0000, 0.5000, 0.0000]]}

[12]
{"formula": "PrYFe", "functional": "PBE-GGA", "state": "relaxed", "ef_ev_per_fu": 0.28, "magnetic_moment_mub_per_atom": 0.2891, "dft_energy_ev_per_atom": -6.476, "spacegroup": "Cmce", "e_above_lowest_polymorph_mev_per_atom": 0.0, "lattice_angstrom": [[7.0790, 0.0000, 0.0000], [-3.5395, 6.1289, 0.0000], [0.0000, 0.0000, 7.4147]], "species": ["Y", "Fe", "Pr", "Y", "Pr", "Y", "Pr", "Pr", "Fe", "Y", "Fe", "Fe"], "fractional_positions": [[0.2906, 0.0812, 0.2500], [0.0893, 0.1786, 0.9592], [0.3014, 0.6027, 0.1132], [0.2094, 0.9188, 0.7500], [0.6986, 0.3973, 0.8868], [0.7094, 0.9188, 0.7500], [0.1986, 0.3973, 0.6132], [0.8014, 0.6027, 0.3868], [0.9107, 0.8214, 0.0408], [0.7906, 0.0812, 0.2500], [0.4107, 0.8214, 0.4592], [0.5893, 0.1786, 0.5408]]}